A geometry-optimized SrScW2O8 structure. Source: the Alexandria database, functional GGA+U.

Lattice parameters (Å, degrees): 5.9055 5.9055 6.8658 90.00 90.00 120.00
Last column: nearest neighbours and their distance in Å.
Element x y z (fractional)
O (0.1596, 0.3199, 0.6949)  1 W 1.85
O (0.6801, 0.8396, 0.6949)  1 W 1.85
O (0.3333, 0.6667, 0.0360)  1 W 1.80
O (0.1604, 0.8404, 0.6949)  1 W 1.85
O (0.8396, 0.1596, 0.3051)  1 W 1.85
O (0.6667, 0.3333, 0.9640)  1 W 1.80
O (0.8404, 0.6801, 0.3051)  1 W 1.85
O (0.3199, 0.1604, 0.3051)  1 W 1.85
W (0.3333, 0.6667, 0.7737)  4 O 1.80-1.85
W (0.6667, 0.3333, 0.2263)  4 O 1.80-1.85
Sc (0.0000, 0.0000, 0.5000)  6 O 2.11
Sr (0.0000, 0.0000, 0.0000)  6 O 2.66

Calculated values
Final energy = -7.53 eV/atom